The following is a PBE calculation of a relaxed ZrFeBi3 crystal, from the Alexandria database.

Results
Calculated formation energy (eV/atom): 0.9044
ρ (Mg/m³): 7.17
E above lowest polymorph (eV/f.u.): 1.20
Size of the total moment (Bohr magnetons per cell): 3.53

Cell: 5.639 5.639 5.639 Å, 90.00 90.00 90.00°
Last column: magnetic moment on the atom in μB.
Element x y z (fractional)
Bi  0.000  0.500  0.000  -0.04
Bi  0.000  0.000  0.500  -0.07
Bi  0.500  0.000  0.000  -0.05
Zr  0.000  0.000  0.000  0.12
Fe  0.500  0.500  0.500  3.29



The following is a PBE calculation of a relaxed ZrFe4Bi crystal, from the Alexandria database.

Results
Calculated formation energy (eV/atom): 0.0047
ρ (Mg/m³): 9.56
Size of the total moment (Bohr magnetons per cell): 8.18

Cell: 5.048 5.048 5.048 Å, 60.00 60.00 60.00°
Last column: magnetic moment on the atom in μB.
Element x y z (fractional)
Bi  0.000  0.000  0.000  -0.03
Zr  0.250  0.250  0.250  -0.56
Fe  0.624  0.624  0.128  2.25
Fe  0.624  0.128  0.624  2.25
Fe  0.624  0.624  0.624  2.25
Fe  0.128  0.624  0.624  2.25



The following is a PBE calculation of a relaxed Zr3FeBi crystal, from the Alexandria database.

Results
Calculated formation energy (eV/atom): -0.0330
ρ (Mg/m³): 7.76
E above lowest polymorph (eV/f.u.): 0.61
Size of the total moment (Bohr magnetons per cell): 0.00

Cell: 4.865 4.865 4.865 Å, 90.00 90.00 90.00°
Element x y z (fractional)
Bi  0.500  0.500  0.500
Zr  0.000  0.500  0.000
Zr  0.000  0.000  0.500
Zr  0.500  0.000  0.000
Fe  0.000  0.000  0.000



The following is a PBE calculation of a relaxed Zr2Fe2Bi crystal, from the Alexandria database.

Results
Calculated formation energy (eV/atom): -0.1005
ρ (Mg/m³): 8.94
Size of the total moment (Bohr magnetons per cell): 6.59

Cell: 7.198 7.198 3.610 Å, 90.00 90.00 90.00°
Last column: magnetic moment on the atom in μB.
Element x y z (fractional)
Bi  0.000  0.000  0.000  0.02
Bi  0.500  0.500  0.000  0.02
Zr  0.173  0.673  0.500  -0.22
Zr  0.673  0.827  0.500  -0.23
Zr  0.827  0.327  0.500  -0.22
Zr  0.327  0.173  0.500  -0.23
Fe  0.388  0.888  0.000  1.91
Fe  0.888  0.612  0.000  1.90
Fe  0.612  0.112  0.000  1.91
Fe  0.112  0.388  0.000  1.90